Ce8PmOs6 | GGA-PBE | optimized geometry

Summary:
- volume (Å³/cell) = 362.1
- SG = No. 148
- energy of formation (meV/atom) = -124
- DFT total energy (eV per atom) = -8.097

Cell: 8.6611 8.6611 7.4877 Å, 54.66 54.66 60.00°
Last column: nearest neighbours and their distance in Å.
Fractional coordinates of all 15 atoms:
Ce 0.5661 0.2114 0.3471  4 Os 2.73-3.04
Ce 0.7886 0.1246 0.6529  4 Os 2.73-3.04
Ce 0.1246 0.4339 0.6529  4 Os 2.73-3.04
Ce 0.6720 0.6720 0.9841  6 Os 2.95-2.99
Ce 0.3280 0.3280 0.0159  6 Os 2.95-2.99
Ce 0.8754 0.5661 0.3471  4 Os 2.73-3.04
Ce 0.2114 0.8754 0.3471  4 Os 2.73-3.04
Ce 0.4339 0.7886 0.6529  4 Os 2.73-3.04
Pm 0.0000 0.0000 0.0000  6 Os 3.14, 6 Ce 3.40
Os 0.4014 0.0555 0.8370  6 Ce 2.73-3.04
Os 0.9445 0.2938 0.1630  6 Ce 2.73-3.04
Os 0.2938 0.5986 0.1630  6 Ce 2.73-3.04
Os 0.7062 0.4014 0.8370  6 Ce 2.73-3.04
Os 0.0555 0.7062 0.8370  6 Ce 2.73-3.04
Os 0.5986 0.9445 0.1630  6 Ce 2.73-3.04